# 1
VASP calculation (GGA-PBE) on a relaxed DyLuN crystal.

abc: 3.4436 3.4436 5.8741
angles: 90.00 90.00 120.00
Closest atoms and distances in Å follow each position.
Fractional coordinates of all 3 atoms:
N: 0.6667 0.3333 0.3431  3 Lu 2.34, 3 Dy 2.44
Lu: 0.3333 0.6667 0.5543  3 N 2.34
Dy: 0.0000 0.0000 0.1027  3 N 2.44

Properties
DOS(E_F) = 0.8695 states/eV per atom
Total energy = -0.2534 hartree per atom
Space-group type = P3m1 (156)
Raw formation energy = -1.078 eV per atom

=====

# 2
VASP calculation (GGA-PBE) on a relaxed Dy2Lu4N crystal.

abc: 4.6456 4.6456 9.3566
angles: 75.63 75.63 90.00
Closest atoms and distances in Å follow each position.
Fractional coordinates of all 7 atoms:
N: 0.0000 0.0000 0.0000  6 Lu 2.30-2.32
Lu: 0.8687 0.8687 0.2626  1 N 2.30
Lu: 0.1313 0.1313 0.7374  1 N 2.30
Lu: 0.0000 0.5000 0.0000  2 N 2.32
Lu: 0.5000 0.0000 0.0000  2 N 2.32
Dy: 0.6720 0.6720 0.6560  5 Lu 3.36-3.45
Dy: 0.3280 0.3280 0.3440  5 Lu 3.36-3.45

Properties
DOS(E_F) = 1.3849 states/eV per atom
Total energy = -0.1976 hartree per atom
Space-group type = I4/mmm (139)
Raw formation energy = -0.290 eV per atom

=====

# 3
VASP calculation (GGA-PBE) on a relaxed NaDyLu2 crystal.

abc: 3.5039 3.5039 10.3172
angles: 90.00 90.00 90.00
Closest atoms and distances in Å follow each position.
Fractional coordinates of all 4 atoms:
Na: 0.5000 0.5000 0.5000  4 Na 3.50, 8 Lu 3.75
Lu: 0.0000 0.0000 0.7723  4 Dy 3.41, 4 Lu 3.50, 4 Na 3.75
Lu: 0.0000 0.0000 0.2277  4 Dy 3.41, 4 Lu 3.50, 4 Na 3.75
Dy: 0.5000 0.5000 0.0000  8 Lu 3.41, 4 Dy 3.50

Properties
DOS(E_F) = 0.9256 states/eV per atom
Total energy = -0.1318 hartree per atom
Space-group type = P4/mmm (123)
ΔH_f (0 K) = 0.1542 eV per atom

=====

# 4
VASP calculation (GGA-PBE) on a relaxed NaDy2Lu crystal.

abc: 3.4853 3.4853 10.5438
angles: 90.00 90.00 90.00
Closest atoms and distances in Å follow each position.
Fractional coordinates of all 4 atoms:
Na: 0.5000 0.5000 0.5000  4 Na 3.49, 8 Dy 3.78
Lu: 0.5000 0.5000 0.0000  8 Dy 3.44, 4 Lu 3.49
Dy: 0.0000 0.0000 0.7717  4 Lu 3.44, 4 Dy 3.49, 4 Na 3.78
Dy: 0.0000 0.0000 0.2283  4 Lu 3.44, 4 Dy 3.49, 4 Na 3.78

Properties
DOS(E_F) = 1.1066 states/eV per atom
Total energy = -0.1333 hartree per atom
Space-group type = P4/mmm (123)
E above lowest polymorph = 0 kJ/mol of formula units
ΔH_f (0 K) = 0.1327 eV per atom

=====

# 5
VASP calculation (GGA-PBE) on a relaxed NaDy2Lu crystal.

abc: 3.4687 3.4687 12.7337
angles: 82.17 82.17 60.00
Closest atoms and distances in Å follow each position.
Fractional coordinates of all 4 atoms:
Na: 0.0000 0.0000 0.0000  6 Na 3.47, 2 Dy 3.51
Lu: 0.5000 0.5000 0.5000  6 Dy 3.43, 6 Lu 3.47
Dy: 0.0930 0.0930 0.7210  3 Lu 3.43, 6 Dy 3.47, 1 Na 3.51
Dy: 0.9070 0.9070 0.2790  3 Lu 3.43, 6 Dy 3.47, 1 Na 3.51

Properties
DOS(E_F) = 1.1452 states/eV per atom
Total energy = -0.1325 hartree per atom
Space-group type = R-3m (166)
E above lowest polymorph = 8 kJ/mol of formula units
ΔH_f (0 K) = 0.1546 eV per atom

=====

# 6
VASP calculation (GGA-PBE) on a relaxed DyLu2Nb crystal.

abc: 3.8035 3.8035 7.2380
angles: 90.00 90.00 90.00
Closest atoms and distances in Å follow each position.
Fractional coordinates of all 4 atoms:
Nb: 0.5000 0.5000 0.0000  8 Lu 3.09
Lu: 0.0000 0.0000 0.7885  1 Lu 3.06, 4 Nb 3.09, 4 Dy 3.41
Lu: 0.0000 0.0000 0.2115  1 Lu 3.06, 4 Nb 3.09, 4 Dy 3.41
Dy: 0.5000 0.5000 0.5000  8 Lu 3.41, 2 Nb 3.62, 4 Dy 3.80

Properties
DOS(E_F) = 1.2304 states/eV per atom
Total energy = -0.2095 hartree per atom
Space-group type = P4/mmm (123)
ΔH_f (0 K) = 0.2281 eV per atom